1.
# MgSc2Tl2

Crystalline MgSc2Tl2 at its relaxed geometry (GGA-PBE, Alexandria via LeMat-Bulk).

Cell: 7.677 7.677 4.088 Å, 90.00 90.00 90.00°
Positions (direct):
Mg 0.000 0.000 0.000
Mg 0.500 0.500 0.000
Sc 0.167 0.333 0.500
Sc 0.333 0.833 0.500
Sc 0.667 0.167 0.500
Sc 0.833 0.667 0.500
Tl 0.138 0.638 0.000
Tl 0.362 0.138 0.000
Tl 0.638 0.862 0.000
Tl 0.862 0.362 0.000

## Properties
As for the space group: P4/mbm. The offset from the most stable computed form is 0.00 kJ/mol of atoms. The formation energy comes out at -18 kJ per mole of atoms.

2.
# TaCo5Ge

Crystalline TaCo5Ge at its relaxed geometry (GGA-PBE, Alexandria via LeMat-Bulk).

Cell: 3.692 3.692 6.540 Å, 90.00 90.00 90.00°
Positions (direct):
Ta 0.000 0.000 0.000
Co 0.000 0.500 0.273
Co 0.000 0.500 0.727
Co 0.500 0.000 0.273
Co 0.500 0.000 0.727
Co 0.500 0.500 0.000
Ge 0.500 0.500 0.500

## Properties
As for the space group: P4/mmm. The formation energy comes out at -7 kJ per mole of atoms.